Record 1
A plane-wave DFT calculation with PBE was carried out for a relaxed Pm4Pd4Au crystal.

The structure in POSCAR format:
```
Pm4Pd4Au
1.0
8.792 0.000 0.000
0.000 8.792 0.000
0.000 0.000 5.834
Pm Pd Au
8 8 2
Direct
0.032 0.700 0.037 Pm
0.200 0.968 0.537 Pm
0.300 0.532 0.537 Pm
0.468 0.800 0.037 Pm
0.532 0.200 0.963 Pm
0.700 0.468 0.463 Pm
0.800 0.032 0.463 Pm
0.968 0.300 0.963 Pm
0.007 0.668 0.520 Pd
0.168 0.993 0.020 Pd
0.332 0.507 0.020 Pd
0.493 0.832 0.520 Pd
0.507 0.168 0.480 Pd
0.668 0.493 0.980 Pd
0.832 0.007 0.980 Pd
0.993 0.332 0.480 Pd
0.250 0.250 0.250 Au
0.750 0.750 0.750 Au
```

Record 2
A plane-wave DFT calculation with PBE was carried out for a relaxed Pm5Pd2Au2 crystal.

The structure in POSCAR format:
```
Pm5Pd2Au2
1.0
7.923 -3.785 0.000
7.923 3.785 0.000
0.000 0.000 7.926
Pm Pd Au
10 4 4
Direct
0.000 0.000 0.000 Pm
0.035 0.695 0.673 Pm
0.195 0.535 0.173 Pm
0.305 0.965 0.673 Pm
0.465 0.805 0.173 Pm
0.500 0.500 0.500 Pm
0.535 0.195 0.827 Pm
0.695 0.035 0.327 Pm
0.805 0.465 0.827 Pm
0.965 0.305 0.327 Pm
0.127 0.873 0.371 Pd
0.373 0.627 0.871 Pd
0.627 0.373 0.129 Pd
0.873 0.127 0.629 Pd
0.208 0.208 0.000 Au
0.292 0.292 0.500 Au
0.708 0.708 0.500 Au
0.792 0.792 0.000 Au
```

Record 3
A plane-wave DFT calculation with PBE was carried out for a relaxed Pm3PdAu2 crystal.

The structure in POSCAR format:
```
Pm3PdAu2
1.0
2.587 -7.758 0.000
2.587 7.758 0.000
0.000 0.000 7.343
Pm Pd Au
6 2 4
Direct
0.000 0.000 0.247 Pm
0.000 0.000 0.753 Pm
0.331 0.669 0.245 Pm
0.331 0.669 0.755 Pm
0.669 0.331 0.245 Pm
0.669 0.331 0.755 Pm
0.165 0.835 0.000 Pd
0.835 0.165 0.000 Pd
0.166 0.834 0.500 Au
0.500 0.500 0.000 Au
0.500 0.500 0.500 Au
0.834 0.166 0.500 Au
```

Record 4
A plane-wave DFT calculation with PBE was carried out for a relaxed PmPd5Au2 crystal.

## Properties
Offset from the most stable computed form = 0 meV per atom

The structure in POSCAR format:
```
PmPd5Au2
1.0
-2.088 2.088 8.046
2.088 -2.088 8.046
2.088 2.088 -8.046
Pm Pd Au
1 5 2
Direct
0.000 0.000 0.000 Pm
0.129 0.629 0.500 Pd
0.371 0.871 0.500 Pd
0.500 0.500 0.000 Pd
0.629 0.129 0.500 Pd
0.871 0.371 0.500 Pd
0.251 0.251 0.000 Au
0.749 0.749 0.000 Au
```

no.,volume (Å³/cell),calculated formation energy (eV per atom),final energy (eV/atom)
1,451,-0.631,-5.415
2,475,-0.696,-5.218
3,295,-0.773,-5.107
4,140,-0.430,-5.088